A geometry-optimized GaPd2WF structure, computed with PBE with a Hubbard U.

Its total DFT energy (no corrections) is -4.368 eV/atom. The calculation puts the density of states at the Fermi level at 1.82 states/eV per cell. As for the volume: 21.622 A^3/atom.

The space group is P4/mmm (No. 123) and the conventional cell measures 5.1512, 5.1512 and 4.0743 Å, with angles of 90.00, 90.00 and 90.00 degrees. The distinct sites, in fractional coordinates, are Ga at (0.0000, 0.0000, 0.0000), Pd at (0.0000, 0.5000, 0.5000), W at (0.5000, 0.5000, 0.5000) and F at (0.5000, 0.5000, 0.0000).